YErTmZr GGA-PBE optimized geometry; symmetry = No. 119; crystal system = tetragonal; offset from the most stable computed form = 0.0000 eV per atom; Fermi-level density of states = 5.1 states/eV/cell; energy of formation = 0.08 eV per atom
1.0
-2.424 2.424 4.834
2.424 -2.424 4.834
2.424 2.424 -4.834
Y Er Tm Zr
1 1 1 1
Cartesian
0.000 0.000 0.000 Y
2.424 0.000 2.417 Er
0.000 0.000 4.834 Tm
0.000 2.424 2.417 Zr

=====

NdBN2F GGA-PBE optimized geometry; ΔE_f (raw) = -1.44 eV/atom; symmetry = No. 11; crystal system = monoclinic
1.0
6.252 0.000 0.000
0.000 3.989 0.000
-1.348 0.000 6.993
Nd B N F
2 2 4 2
Cartesian
0.831 0.997 2.764 Nd
4.073 2.992 4.229 Nd
-0.645 0.997 5.973 B
5.549 2.992 1.020 B
-0.702 0.997 4.640 N
0.826 0.997 0.336 N
4.078 2.992 6.657 N
5.605 2.992 2.353 N
2.263 2.992 2.653 F
2.640 0.997 4.340 F

=====

BaPu2Ir GGA-PBE optimized geometry; symmetry = No. 166; crystal system = trigonal; Fermi-level density of states = 17.4 states/eV/cell; energy of formation = -0.08 eV per atom
1.0
2.069 1.194 9.299
-2.069 1.194 9.299
0.000 -2.389 9.299
Ba Pu Ir
1 2 1
Cartesian
0.000 0.000 0.000 Ba
0.000 0.000 6.071 Pu
0.000 0.000 21.825 Pu
0.000 0.000 13.948 Ir

=====

La5PmHg GGA-PBE optimized geometry; symmetry = No. 15; crystal system = monoclinic; Fermi-level density of states = 20.3 states/eV/cell; energy of formation = -0.06 eV per atom
1.0
4.477 -4.371 0.000
4.477 4.371 0.000
-2.732 0.000 12.353
La Pm Hg
10 2 2
Cartesian
-0.200 1.219 6.994 La
-0.474 1.497 10.685 La
2.428 3.124 9.265 La
1.166 -1.219 0.818 La
0.892 -1.497 4.508 La
5.331 1.497 7.844 La
5.057 1.219 11.535 La
3.794 -3.124 3.088 La
6.697 -1.497 1.668 La
6.422 -1.219 5.358 La
3.794 0.253 3.088 Pm
2.428 -0.253 9.265 Pm
4.477 0.000 0.000 Hg
3.111 0.000 6.176 Hg

=====

HfGaAu GGA-PBE optimized geometry; symmetry = No. 1; crystal system = triclinic; Fermi-level density of states = 3.3 states/eV/cell; energy of formation = -0.39 eV per atom
1.0
4.060 0.000 0.000
2.027 4.644 0.000
0.008 0.804 5.894
Hf Ga Au
2 2 2
Cartesian
0.000 0.000 0.000 Hf
2.035 1.790 3.609 Hf
2.031 4.585 3.180 Ga
4.064 3.584 4.787 Ga
2.030 1.819 0.733 Au
4.060 3.602 1.854 Au

=====

YTi3Cr GGA-PBE optimized geometry; symmetry = No. 221; crystal system = cubic; offset from the most stable computed form = 0.0000 eV per atom; Fermi-level density of states = 9.9 states/eV/cell; energy of formation = 0.34 eV per atom
1.0
4.658 0.000 0.000
0.000 4.658 0.000
0.000 0.000 4.658
Y Ti Cr
1 3 1
Cartesian
0.000 0.000 0.000 Y
0.000 2.329 2.329 Ti
2.329 0.000 2.329 Ti
2.329 2.329 0.000 Ti
2.329 2.329 2.329 Cr

=====

Na3Tm2UTe6 GGA-PBE optimized geometry; ΔE_f (raw) = -1.10 eV/atom; symmetry = No. 12; crystal system = monoclinic; Fermi-level density of states = 10.0 states/eV/cell
1.0
3.824 -6.625 0.000
3.824 6.625 0.000
-2.551 0.000 7.575
Na Tm U Te
3 2 1 6
Cartesian
0.000 0.000 0.000 Na
3.824 2.180 0.000 Na
3.824 -2.180 0.000 Na
2.549 4.413 3.788 Tm
2.549 -4.413 3.788 Tm
2.549 0.000 3.788 U
1.245 2.258 2.027 Te
-0.059 0.000 5.547 Te
1.245 -2.258 2.027 Te
3.853 2.258 5.548 Te
5.156 0.000 2.028 Te
3.853 -2.258 5.548 Te

=====

Eu2SiH GGA-PBE optimized geometry; symmetry = No. 123; crystal system = tetragonal; offset from the most stable computed form = 0.0175 eV per atom; Fermi-level density of states = 1.4 states/eV/cell
1.0
3.361 0.000 0.000
0.000 3.361 0.000
0.000 0.000 7.384
Eu Si H
2 1 1
Cartesian
0.000 0.000 1.726 Eu
0.000 0.000 5.659 Eu
1.680 1.680 3.692 Si
1.680 1.680 0.000 H

=====

Ho5Ni2Te2 GGA-PBE optimized geometry; ΔE_f (raw) = -0.78 eV/atom; symmetry = No. 64; crystal system = orthorhombic; Fermi-level density of states = 19.3 states/eV/cell
1.0
7.731 -3.822 0.000
7.731 3.822 0.000
0.000 0.000 7.614
Ho Ni Te
10 4 4
Cartesian
0.000 0.000 0.000 Ho
5.922 2.602 5.018 Ho
5.922 1.220 1.212 Ho
9.539 2.602 5.018 Ho
9.539 1.220 1.212 Ho
7.731 0.000 3.807 Ho
5.922 -1.220 6.402 Ho
5.922 -2.602 2.595 Ho
9.539 -1.220 6.402 Ho
9.539 -2.602 2.595 Ho
7.731 2.807 2.817 Ni
7.731 1.016 6.624 Ni
7.731 -1.016 0.990 Ni
7.731 -2.807 4.796 Ni
3.222 0.000 0.000 Te
4.509 0.000 3.807 Te
10.953 0.000 3.807 Te
12.239 0.000 0.000 Te

=====

InFe2Se GGA-PBE optimized geometry; ΔE_f (raw) = 0.38 eV/atom; symmetry = No. 71; crystal system = orthorhombic; offset from the most stable computed form = 0.3088 eV per atom; Fermi-level density of states = 3.1 states/eV/cell
1.0
-1.485 2.751 4.269
1.485 -2.751 4.269
1.485 2.751 -4.269
In Fe Se
1 2 1
Cartesian
0.000 0.000 0.000 In
1.485 0.000 2.325 Fe
0.000 2.751 1.944 Fe
0.000 0.000 4.269 Se

=====

LiHo3Sb2 GGA-PBE optimized geometry; ΔE_f (raw) = -0.72 eV/atom; symmetry = No. 72; crystal system = orthorhombic; Fermi-level density of states = 14.3 states/eV/cell
1.0
-3.092 8.324 3.067
3.092 -8.324 3.067
3.092 8.324 -3.067
Li Ho Sb
2 6 4
Cartesian
0.000 0.000 1.533 Li
0.000 0.000 4.600 Li
4.632 2.960 0.000 Ho
3.092 0.000 1.533 Ho
1.539 5.364 0.000 Ho
1.553 2.960 3.067 Ho
0.000 8.324 1.533 Ho
-1.539 5.364 3.067 Ho
1.522 2.275 0.000 Sb
1.522 -2.275 3.067 Sb
1.570 10.599 0.000 Sb
1.570 6.049 3.067 Sb

=====

AcTlAg3 GGA-PBE optimized geometry; symmetry = No. 62; crystal system = orthorhombic; Fermi-level density of states = 9.8 states/eV/cell; energy of formation = -0.17 eV per atom
1.0
9.829 0.000 0.000
0.000 5.259 0.000
0.000 0.000 9.668
Ac Tl Ag
4 4 12
Cartesian
2.332 1.315 0.111 Ac
2.583 3.944 4.945 Ac
7.246 1.315 4.723 Ac
7.497 3.944 9.557 Ac
0.883 1.315 3.482 Tl
4.032 3.944 8.315 Tl
5.797 1.315 1.352 Tl
8.946 3.944 6.186 Tl
0.880 3.944 1.452 Ag
1.016 3.944 8.237 Ag
1.182 1.315 6.455 Ag
3.733 3.944 1.621 Ag
3.899 1.315 3.403 Ag
4.035 1.315 6.286 Ag
5.795 3.944 3.381 Ag
5.930 3.944 6.265 Ag
6.096 1.315 8.047 Ag
8.648 3.944 3.213 Ag
8.814 1.315 1.431 Ag
8.949 1.315 8.215 Ag

=====

Number 1: raw total energy -23.71 eV/cell. Number 2: raw total energy -74.31 eV/cell. Number 3: raw total energy -39.75 eV/cell. Number 4: raw total energy -60.24 eV/cell. Number 5: raw total energy -34.88 eV/cell. Number 6: raw total energy -38.10 eV/cell. Number 7: raw total energy -56.28 eV/cell. Number 8: raw total energy -30.38 eV/cell. Number 9: raw total energy -95.60 eV/cell. Number 10: raw total energy -21.63 eV/cell. Number 11: raw total energy -56.44 eV/cell. Number 12: raw total energy -63.60 eV/cell.